VASP calculation (PBE) on a geometry-optimized La2NdDy2Y4 structure.

Structure (CIF):
```
data_La2NdDy2Y4
_chemical_formula_sum 'La2 Nd1 Dy2 Y4'
_cell_length_a 3.6485
_cell_length_b 9.6347
_cell_length_c 9.6693
_cell_angle_alpha 115.26
_cell_angle_beta 90.00
_cell_angle_gamma 100.91
_symmetry_space_group_name_H-M 'P 1'
_symmetry_Int_Tables_number 1
loop_
_symmetry_equiv_pos_as_xyz
'x,y,z'
loop_
_atom_site_label
_atom_site_type_symbol
_atom_site_fract_x
_atom_site_fract_y
_atom_site_fract_z
Y1 Y 0.1863 0.3725 0.3371
Y2 Y 0.8137 0.6275 0.6629
Y3 Y 0.4800 0.9599 0.6618
Y4 Y 0.5200 0.0401 0.3382
La1 La 0.6663 0.3326 0.9975
La2 La 0.3337 0.6674 0.0025
Nd1 Nd 0.0000 0.0000 0.0000
Dy1 Dy 0.1477 0.2955 0.6630
Dy2 Dy 0.8523 0.7045 0.3370
```

## Properties
Calculated total energy in eV per atom: -5.526
Space group: C2/m (12)
Size of the total moment in μB per atom: 0.000